(1)
Li2VCrP4O14 | PBE with a Hubbard U | relaxed

Cell lengths 9.588, 9.583, 7.022 Å; angles 99.26, 99.25, 118.74 degrees
Atoms (fractional coordinates):
Li  0.160  0.021  0.672
Li  0.733  0.092  0.332
Li  0.229  0.590  0.325
Li  0.657  0.517  0.671
V  0.858  0.358  0.731
V  0.893  0.894  0.272
Cr  0.393  0.393  0.272
Cr  0.355  0.856  0.726
P  0.111  0.291  0.523
P  0.745  0.032  0.913
P  0.252  0.535  0.915
P  0.460  0.140  0.474
P  0.608  0.788  0.526
P  0.715  0.501  0.088
P  0.218  0.002  0.084
P  0.962  0.641  0.478
O  0.075  0.113  0.483
O  0.360  0.038  0.602
O  0.578  0.016  0.911
O  0.084  0.514  0.922
O  0.223  0.375  0.753
O  0.378  0.029  0.243
O  0.237  0.170  0.081
O  0.212  0.389  0.392
O  0.451  0.297  0.488
O  0.139  0.675  0.518
O  0.638  0.178  0.516
O  0.858  0.182  0.848
O  0.362  0.689  0.856
O  0.221  0.916  0.882
O  0.720  0.418  0.886
O  0.338  0.529  0.115
O  0.829  0.031  0.116
O  0.065  0.891  0.146
O  0.564  0.388  0.150
O  0.572  0.610  0.483
O  0.449  0.795  0.510
O  0.953  0.297  0.509
O  0.861  0.538  0.606
O  0.716  0.869  0.757
O  0.878  0.531  0.247
O  0.734  0.669  0.086
O  0.711  0.890  0.400
O  0.957  0.800  0.495

Calculated values
Energy above the most stable polymorph in this dataset: 0 meV/atom
Density: 2.9 g/cm³

---

(2)
LiVCrP4O14 | PBE with a Hubbard U | relaxed

Cell lengths 4.884, 8.099, 6.983 Å; angles 89.95, 107.44, 89.52 degrees
Atoms (fractional coordinates):
Li  0.166  0.869  0.678
V  0.207  0.496  0.725
Cr  0.783  0.005  0.272
P  0.392  0.184  0.514
P  0.234  0.779  0.095
P  0.775  0.278  0.909
P  0.603  0.680  0.483
O  0.043  0.332  0.850
O  0.144  0.685  0.893
O  0.162  0.052  0.491
O  0.265  0.359  0.518
O  0.389  0.679  0.607
O  0.582  0.431  0.904
O  0.604  0.149  0.740
O  0.427  0.645  0.253
O  0.421  0.925  0.075
O  0.566  0.177  0.369
O  0.742  0.851  0.493
O  0.824  0.542  0.542
O  0.868  0.182  0.101
O  0.979  0.824  0.164

Calculated values
Density: 2.9 g/cm³
Electronic total energy: -7.32 eV per atom

---

density of number 1 (Li2VCrP4O14)? 2.9 g/cm³